Version a
Cu2AsOs2 | PBE | relaxed

Unit cell a=7.2687 b=7.2687 c=7.2687 alpha=154.44 beta=154.44 gamma=36.46
Element x y z (fractional)
Cu: 0.2500 0.7500 0.5000
Cu: 0.7500 0.2500 0.5000
As: 0.0000 0.0000 0.0000
Os: 0.4015 0.4015 0.0000
Os: 0.5985 0.5985 0.0000

Output
size of the total moment = 0.00 μB/atom
volume = 14.28 Å³/atom


Version b
Cu2AsOs2 | PBE | relaxed

Unit cell a=6.1785 b=6.1785 c=3.9904 alpha=90.00 beta=90.00 gamma=90.00
Element x y z (fractional)
Cu: 0.1582 0.3418 0.0000
Cu: 0.3418 0.8418 0.0000
Cu: 0.6582 0.1582 0.0000
Cu: 0.8418 0.6582 0.0000
As: 0.0000 0.0000 0.5000
As: 0.5000 0.5000 0.5000
Os: 0.1418 0.6418 0.5000
Os: 0.3582 0.1418 0.5000
Os: 0.6418 0.8582 0.5000
Os: 0.8582 0.3582 0.5000

Output
size of the total moment = 0.00 μB/atom
volume = 15.23 Å³/atom


Which one sits at the bottom of the stability order? version a does.


Version a
Pa2CuAs | PBE | relaxed

Unit cell a=4.5261 b=4.5261 c=4.0181 alpha=90.00 beta=90.00 gamma=90.00
Element x y z (fractional)
Pa: 0.0000 0.5000 0.0000
Pa: 0.5000 0.0000 0.0000
Cu: 0.0000 0.0000 0.5000
As: 0.5000 0.5000 0.5000

Output
size of the total moment = 0.11 μB/atom
volume = 20.58 Å³/atom


Version b
Pa2CuAs | PBE | relaxed

Unit cell a=9.9056 b=9.9056 c=9.9056 alpha=19.71 beta=19.71 gamma=19.71
Element x y z (fractional)
Pa: 0.0958 0.0958 0.0958
Pa: 0.9042 0.9042 0.9042
Cu: 0.0000 0.0000 0.0000
As: 0.5000 0.5000 0.5000

Output
size of the total moment = 0.00 μB/atom
volume = 24.18 Å³/atom


Which one sits at the bottom of the stability order? version b does.


Version a
CuAsPb3 | PBE | relaxed

Unit cell a=5.2144 b=5.2144 c=5.2144 alpha=90.00 beta=90.00 gamma=90.00
Element x y z (fractional)
Cu: 0.0000 0.0000 0.0000
As: 0.5000 0.5000 0.5000
Pb: 0.0000 0.0000 0.5000
Pb: 0.0000 0.5000 0.0000
Pb: 0.5000 0.0000 0.0000

Output
size of the total moment = 0.00 μB/atom
volume = 28.36 Å³/atom


Version b
CuAsPb3 | PBE | relaxed

Unit cell a=5.6145 b=5.6145 c=5.6145 alpha=90.00 beta=90.00 gamma=90.00
Element x y z (fractional)
Cu: 0.0000 0.0000 0.0000
As: 0.5000 0.5000 0.5000
Pb: 0.0000 0.5000 0.5000
Pb: 0.5000 0.0000 0.5000
Pb: 0.5000 0.5000 0.0000

Output
size of the total moment = 0.00 μB/atom
volume = 35.40 Å³/atom


Which one sits at the bottom of the stability order? version b does.


Version a
Cu2As2Pb | PBE | relaxed

Unit cell a=5.9545 b=5.9545 c=5.9545 alpha=137.17 beta=137.17 gamma=62.18
Element x y z (fractional)
Cu: 0.2500 0.7500 0.5000
Cu: 0.7500 0.2500 0.5000
As: 0.1263 0.1263 0.0000
As: 0.8737 0.8737 0.0000
Pb: 0.5000 0.5000 0.0000

Output
size of the total moment = 0.00 μB/atom
volume = 19.28 Å³/atom


Version b
Cu2As2Pb | PBE | relaxed

Unit cell a=7.7287 b=7.7287 c=3.1036 alpha=90.00 beta=90.00 gamma=90.00
Element x y z (fractional)
Cu: 0.1222 0.3778 0.0000
Cu: 0.3778 0.8778 0.0000
Cu: 0.6222 0.1222 0.0000
Cu: 0.8778 0.6222 0.0000
As: 0.1599 0.6599 0.5000
As: 0.3401 0.1599 0.5000
As: 0.6599 0.8401 0.5000
As: 0.8401 0.3401 0.5000
Pb: 0.0000 0.0000 0.0000
Pb: 0.5000 0.5000 0.0000

Output
size of the total moment = 0.00 μB/atom
volume = 18.54 Å³/atom


Which one sits at the bottom of the stability order? version b does.


Version a
CuAsPbS3 | PBE | relaxed

Unit cell a=7.6889 b=8.1911 c=9.0575 alpha=90.00 beta=90.00 gamma=90.00
Element x y z (fractional)
Cu: 0.2385 0.2231 0.0000
Cu: 0.2615 0.7769 0.5000
Cu: 0.7385 0.7769 0.5000
Cu: 0.7615 0.2231 0.0000
As: 0.0000 0.0010 0.7332
As: 0.0000 0.5643 0.1526
As: 0.5000 0.4357 0.6526
As: 0.5000 0.9990 0.2332
Pb: 0.0000 0.0458 0.2667
Pb: 0.0000 0.4216 0.5797
Pb: 0.5000 0.5784 0.0797
Pb: 0.5000 0.9542 0.7667
S: 0.0000 0.2476 0.8528
S: 0.0000 0.7155 0.3712
S: 0.2242 0.0507 0.5707
S: 0.2273 0.3911 0.2076
S: 0.2727 0.6089 0.7076
S: 0.2758 0.9493 0.0707
S: 0.5000 0.2845 0.8712
S: 0.5000 0.7524 0.3528
S: 0.7242 0.9493 0.0707
S: 0.7273 0.6089 0.7076
S: 0.7727 0.3911 0.2076
S: 0.7758 0.0507 0.5707

Output
size of the total moment = 0.00 μB/atom
volume = 23.77 Å³/atom


Version b
CuAsPbS3 | PBE | relaxed

Unit cell a=8.3784 b=3.7924 c=8.6715 alpha=90.00 beta=101.04 gamma=90.00
Element x y z (fractional)
Cu: 0.0740 0.2500 0.0917
Cu: 0.9260 0.7500 0.9083
As: 0.3395 0.7500 0.3722
As: 0.6605 0.2500 0.6278
Pb: 0.1749 0.2500 0.7556
Pb: 0.8251 0.7500 0.2444
S: 0.1406 0.2500 0.3646
S: 0.2151 0.7500 0.0045
S: 0.4230 0.7500 0.6418
S: 0.5770 0.2500 0.3582
S: 0.7849 0.2500 0.9955
S: 0.8594 0.7500 0.6354

Output
size of the total moment = 0.00 μB/atom
volume = 22.54 Å³/atom


Which one sits at the bottom of the stability order? version b does.


Version a
CuAs2Pd | PBE | relaxed

Unit cell a=6.1775 b=6.1775 c=6.1775 alpha=121.18 beta=121.18 gamma=87.96
Element x y z (fractional)
Cu: 0.0000 0.0000 0.0000
Cu: 0.7500 0.2500 0.5000
As: 0.1168 0.6250 0.9918
As: 0.3750 0.3668 0.4918
As: 0.6332 0.1250 0.0082
As: 0.8750 0.8832 0.5082
Pd: 0.2500 0.7500 0.5000
Pd: 0.5000 0.5000 0.0000

Output
size of the total moment = 0.00 μB/atom
volume = 20.45 Å³/atom


Version b
CuAs2Pd | PBE | relaxed

Unit cell a=8.6076 b=8.6076 c=8.6076 alpha=21.03 beta=21.03 gamma=21.03
Element x y z (fractional)
Cu: 0.0000 0.0000 0.0000
As: 0.0922 0.0922 0.0922
As: 0.9078 0.9078 0.9078
Pd: 0.5000 0.5000 0.5000

Output
size of the total moment = 0.00 μB/atom
volume = 17.99 Å³/atom


Which one sits at the bottom of the stability order? version a does.


Version a
Cu2AsPd4 | PBE | relaxed

Unit cell a=5.4750 b=6.3047 c=6.9096 alpha=114.97 beta=93.48 gamma=103.17
Element x y z (fractional)
Cu: 0.0000 0.0000 0.0000
Cu: 0.1066 0.5872 0.8572
Cu: 0.6058 0.5623 0.8634
Cu: 0.7623 0.8580 0.2516
As: 0.3274 0.7572 0.5599
As: 0.6139 0.2624 0.3501
Pd: 0.0839 0.3189 0.4366
Pd: 0.2085 0.1586 0.7382
Pd: 0.2555 0.8974 0.2813
Pd: 0.3920 0.4606 0.1744
Pd: 0.5051 0.9730 0.9524
Pd: 0.7049 0.1513 0.6509
Pd: 0.8206 0.7053 0.5751
Pd: 0.8822 0.4274 0.1066

Output
size of the total moment = 0.00 μB/atom
volume = 14.80 Å³/atom


Version b
Cu2AsPd4 | PBE | relaxed

Unit cell a=5.1983 b=5.1983 c=5.1983 alpha=107.98 beta=107.98 gamma=112.49
Element x y z (fractional)
Cu: 0.0000 0.5000 0.5000
Cu: 0.5000 0.0000 0.5000
As: 0.0000 0.0000 0.0000
Pd: 0.0000 0.0000 0.5000
Pd: 0.0000 0.5000 0.0000
Pd: 0.5000 0.0000 0.0000
Pd: 0.5000 0.5000 0.5000

Output
size of the total moment = 0.00 μB/atom
volume = 15.41 Å³/atom


Which one sits at the bottom of the stability order? version b does.


Version a
Cu6AsPd12 | PBE | relaxed

Unit cell a=7.2192 b=7.2192 c=7.2192 alpha=110.77 beta=110.77 gamma=110.77
Element x y z (fractional)
Cu: 0.0518 0.3672 0.5792
Cu: 0.3672 0.5792 0.0518
Cu: 0.4208 0.9482 0.6328
Cu: 0.5792 0.0518 0.3672
Cu: 0.6328 0.4208 0.9482
Cu: 0.9482 0.6328 0.4208
As: 0.0000 0.0000 0.0000
Pd: 0.1091 0.7383 0.1631
Pd: 0.1631 0.1091 0.7383
Pd: 0.2081 0.4773 0.3207
Pd: 0.2617 0.8369 0.8909
Pd: 0.3207 0.2081 0.4773
Pd: 0.4773 0.3207 0.2081
Pd: 0.5227 0.6793 0.7919
Pd: 0.6793 0.7919 0.5227
Pd: 0.7383 0.1631 0.1091
Pd: 0.7919 0.5227 0.6793
Pd: 0.8369 0.8909 0.2617
Pd: 0.8909 0.2617 0.8369

Output
size of the total moment = 0.00 μB/atom
volume = 14.47 Å³/atom


Version b
Cu6AsPd12 | PBE | relaxed

Unit cell a=6.5439 b=6.5439 c=6.5439 alpha=89.64 beta=89.64 gamma=89.64
Element x y z (fractional)
Cu: 0.2277 0.7707 0.6125
Cu: 0.2293 0.3875 0.7723
Cu: 0.3875 0.7723 0.2293
Cu: 0.6125 0.2277 0.7707
Cu: 0.7707 0.6125 0.2277
Cu: 0.7723 0.2293 0.3875
As: 0.5000 0.5000 0.5000
Pd: 0.0317 0.9366 0.3023
Pd: 0.0634 0.6977 0.9683
Pd: 0.1350 0.4803 0.3485
Pd: 0.3023 0.0317 0.9366
Pd: 0.3485 0.1350 0.4803
Pd: 0.4803 0.3485 0.1350
Pd: 0.5197 0.6515 0.8650
Pd: 0.6515 0.8650 0.5197
Pd: 0.6977 0.9683 0.0634
Pd: 0.8650 0.5197 0.6515
Pd: 0.9366 0.3023 0.0317
Pd: 0.9683 0.0634 0.6977

Output
size of the total moment = 0.00 μB/atom
volume = 14.75 Å³/atom


Which one sits at the bottom of the stability order? version b does.


Version a
CuAsPd4 | PBE | relaxed

Unit cell a=7.1323 b=2.9735 c=17.0884 alpha=90.00 beta=90.00 gamma=90.00
Element x y z (fractional)
Cu: 0.1984 0.2500 0.1879
Cu: 0.3016 0.7500 0.6879
Cu: 0.6984 0.2500 0.3121
Cu: 0.8016 0.7500 0.8121
As: 0.2474 0.7500 0.4511
As: 0.2526 0.2500 0.9511
As: 0.7474 0.7500 0.0489
As: 0.7526 0.2500 0.5489
Pd: 0.0005 0.7500 0.2852
Pd: 0.0448 0.7500 0.5731
Pd: 0.1003 0.7500 0.0632
Pd: 0.1740 0.7500 0.8370
Pd: 0.3260 0.2500 0.3370
Pd: 0.3997 0.2500 0.5632
Pd: 0.4552 0.2500 0.0731
Pd: 0.4995 0.2500 0.7852
Pd: 0.5005 0.7500 0.2148
Pd: 0.5448 0.7500 0.9269
Pd: 0.6003 0.7500 0.4368
Pd: 0.6740 0.7500 0.6630
Pd: 0.8260 0.2500 0.1630
Pd: 0.8997 0.2500 0.9368
Pd: 0.9552 0.2500 0.4269
Pd: 0.9995 0.2500 0.7148

Output
size of the total moment = 0.00 μB/atom
volume = 15.10 Å³/atom


Version b
CuAsPd4 | PBE | relaxed

Unit cell a=5.1544 b=7.7180 c=4.9355 alpha=90.00 beta=112.25 gamma=90.00
Element x y z (fractional)
Cu: 0.0000 0.0000 0.0000
Cu: 0.0000 0.5000 0.5000
As: 0.5000 0.0000 0.5000
As: 0.5000 0.5000 0.0000
Pd: 0.1157 0.1610 0.5797
Pd: 0.1157 0.3390 0.0797
Pd: 0.3950 0.6656 0.3891
Pd: 0.3950 0.8344 0.8891
Pd: 0.6050 0.1656 0.1109
Pd: 0.6050 0.3344 0.6109
Pd: 0.8843 0.6610 0.9203
Pd: 0.8843 0.8390 0.4203

Output
size of the total moment = 0.00 μB/atom
volume = 15.14 Å³/atom


Which one sits at the bottom of the stability order? version b does.


Version a
PmCu2As2 | PBE | relaxed

Unit cell a=11.6510 b=11.6510 c=3.9827 alpha=90.00 beta=90.00 gamma=160.15
Element x y z (fractional)
Pm: 0.1480 0.8520 0.7500
Pm: 0.8520 0.1480 0.2500
Cu: 0.0354 0.9646 0.2500
Cu: 0.4651 0.5349 0.2500
Cu: 0.5349 0.4651 0.7500
Cu: 0.9646 0.0354 0.7500
As: 0.2499 0.7501 0.2500
As: 0.4008 0.5992 0.7500
As: 0.5992 0.4008 0.2500
As: 0.7501 0.2499 0.7500

Output
size of the total moment = 0.00 μB/atom
volume = 18.36 Å³/atom


Version b
PmCu2As2 | PBE | relaxed

Unit cell a=6.6324 b=6.6324 c=6.2507 alpha=116.45 beta=116.45 gamma=98.21
Element x y z (fractional)
Pm: 0.1262 0.8738 0.7500
Pm: 0.8738 0.1262 0.2500
Cu: 0.2268 0.4820 0.9612
Cu: 0.4820 0.2268 0.4612
Cu: 0.5180 0.7732 0.5388
Cu: 0.7732 0.5180 0.0388
As: 0.1664 0.8336 0.2500
As: 0.4210 0.5790 0.7500
As: 0.5790 0.4210 0.2500
As: 0.8336 0.1664 0.7500

Output
size of the total moment = 0.00 μB/atom
volume = 19.94 Å³/atom


Which one sits at the bottom of the stability order? version b does.


Version a
Pr2CuAs | PBE | relaxed

Unit cell a=5.0516 b=5.0516 c=3.8215 alpha=90.00 beta=90.00 gamma=90.00
Element x y z (fractional)
Pr: 0.0000 0.5000 0.0000
Pr: 0.5000 0.0000 0.0000
Cu: 0.0000 0.0000 0.5000
As: 0.5000 0.5000 0.5000

Output
size of the total moment = 0.00 μB/atom
volume = 24.38 Å³/atom


Version b
Pr2CuAs | PBE | relaxed

Unit cell a=9.1949 b=9.1949 c=9.1949 alpha=26.73 beta=26.73 gamma=26.73
Element x y z (fractional)
Pr: 0.1067 0.1067 0.1067
Pr: 0.8933 0.8933 0.8933
Cu: 0.0000 0.0000 0.0000
As: 0.5000 0.5000 0.5000

Output
size of the total moment = 0.00 μB/atom
volume = 34.66 Å³/atom


Which one sits at the bottom of the stability order? version b does.